Entry 1:
PrHo4Mg5 | PBE | optimized geometry

a = 3.7913 Å, b = 3.7913 Å, c = 19.1199 Å
α = 90.00°, β = 90.00°, γ = 90.00°
Closest atoms and distances in Å follow each position.
Atoms (fractional coordinates):
Pr1 0.0000 0.0000 0.0000  8 Mg 3.38
Ho1 0.0000 0.0000 0.2061  8 Mg 3.27
Ho2 0.0000 0.0000 0.4020  8 Mg 3.27
Ho3 0.0000 0.0000 0.5980  8 Mg 3.27
Ho4 0.0000 0.0000 0.7939  8 Mg 3.27
Mg1 0.5000 0.5000 0.1080  4 Ho 3.27, 4 Pr 3.38
Mg2 0.5000 0.5000 0.3036  8 Ho 3.27
Mg3 0.5000 0.5000 0.5000  8 Ho 3.27
Mg4 0.5000 0.5000 0.6964  8 Ho 3.27
Mg5 0.5000 0.5000 0.8920  4 Ho 3.27, 4 Pr 3.38

Output
Final energy: -3.185 eV/atom
Space group: P4/mmm (123)
Volume: 27.5 A^3/atom

***

Entry 2:
Ba2Ge3Pd4Pt | PBE | optimized geometry

a = 4.5369 Å, b = 4.5369 Å, c = 10.4614 Å
α = 90.00°, β = 90.00°, γ = 90.00°
Closest atoms and distances in Å follow each position.
Atoms (fractional coordinates):
Ba1 0.0000 0.5000 0.2432  8 Pd 3.38-3.52, 2 Pt 3.41, 6 Ge 3.41-3.54
Ba2 0.5000 0.0000 0.7568  8 Pd 3.38-3.52, 2 Pt 3.41, 6 Ge 3.41-3.54
Ge1 0.0000 0.0000 0.0000  4 Pd 2.71
Ge2 0.0000 0.5000 0.6141  5 Pd 2.56
Ge3 0.5000 0.0000 0.3859  5 Pd 2.56
Pd1 0.0000 0.0000 0.5000  4 Ge 2.56
Pd2 0.0000 0.5000 0.8589  3 Ge 2.56-2.71, 2 Pt 2.71
Pd3 0.5000 0.0000 0.1411  3 Ge 2.56-2.71, 2 Pt 2.71
Pd4 0.5000 0.5000 0.5000  4 Ge 2.56
Pt1 0.5000 0.5000 0.0000  4 Pd 2.71

Output
Final energy: -5.036 eV/atom
Space group: P-4m2 (115)
Volume: 21.5 A^3/atom

***

Entry 3:
BaPd3Cl | PBE | optimized geometry

a = 5.4537 Å, b = 5.4537 Å, c = 5.4537 Å
α = 90.00°, β = 90.00°, γ = 90.00°
Closest atoms and distances in Å follow each position.
Atoms (fractional coordinates):
Ba1 0.0000 0.0000 0.0000  6 Pd 2.73
Pd1 0.0000 0.0000 0.5000  2 Ba 2.73
Pd2 0.0000 0.5000 0.0000  2 Ba 2.73
Pd3 0.5000 0.0000 0.0000  2 Ba 2.73
Cl1 0.5000 0.5000 0.5000  12 Pd 3.86

Output
Energy relative to the elements, uncorrected: 0.830 eV/atom
Space group: Pm-3m (221)
Volume: 32.4 A^3/atom